No. 1
The following is a DFT calculation (PBE with a Hubbard U) of a relaxed structure of Li3MnBPO7.

Cell and atoms, written as POSCAR:
```
Li3MnBPO7
1.0
5.018 0.000 -0.005
0.000 6.702 0.000
-0.881 0.000 8.266
Li O Mn B P
6 14 2 2 2
Cartesian
3.542 5.027 3.310
3.082 3.299 6.154
3.082 0.053 6.154
1.055 3.404 2.107
0.596 1.676 4.951
1.055 6.650 2.107
1.965 1.676 7.920
2.243 1.676 2.628
-0.290 5.027 4.877
4.040 6.240 1.596
1.894 5.027 5.633
0.098 2.889 6.665
1.540 5.027 3.238
4.427 1.676 3.384
0.550 1.676 0.636
2.597 1.676 5.023
0.098 0.462 6.665
2.172 5.027 0.341
4.040 3.813 1.596
3.587 5.027 7.625
3.765 1.676 1.441
0.372 5.027 6.820
3.087 1.676 3.768
1.050 5.027 4.493
3.693 5.027 0.700
0.444 1.676 7.560
```

Output
The size of the total moment comes out at 8.00 μB/cell. The value obtained for the total energy is -6.785 eV/atom.

No. 2
The following is a DFT calculation (PBE with a Hubbard U) of a relaxed structure of Li6Mn2B4SO16.

Cell and atoms, written as POSCAR:
```
Li6Mn2B4SO16
1.0
-2.343 8.967 1.456
-4.784 4.721 -6.545
-8.965 2.322 1.503
O B Mn Li S
32 8 4 12 2
Cartesian
-14.543 12.537 -2.876
-4.585 4.534 -5.073
-6.837 9.156 0.118
-10.654 12.129 -4.793
-3.585 5.297 -0.283
-6.693 10.136 -2.053
-11.309 10.468 -0.821
-8.737 10.247 -0.827
-4.221 4.190 -2.369
-10.577 8.185 -1.777
-7.004 5.822 -2.559
-10.917 12.809 -0.576
-1.049 1.044 -0.234
-6.981 8.067 -4.096
-13.133 11.945 -0.387
-9.538 11.826 -2.705
-5.571 7.475 -1.606
-11.377 9.765 -3.656
-2.781 7.672 0.843
-13.421 9.876 -2.430
-8.805 9.544 -3.662
-7.676 2.760 0.877
-13.110 14.190 -1.923
-5.311 3.564 -0.271
-13.028 13.748 -4.267
-9.197 7.203 -3.907
-9.599 6.075 -1.242
-7.086 6.264 -0.216
-9.460 7.883 0.310
-13.277 10.856 -4.601
-2.974 2.959 -0.663
-10.515 13.936 -3.241
-8.325 8.269 -3.867
-7.429 9.828 -0.929
-6.568 6.535 -1.464
-11.789 11.743 -0.615
-12.685 10.184 -3.554
-13.546 13.477 -3.019
-9.860 7.387 -0.912
-10.254 12.624 -3.571
-5.575 8.845 -2.993
-8.886 5.522 -2.970
-10.057 10.006 -2.241
-7.665 7.645 1.031
-6.518 3.581 -2.318
-4.837 8.546 0.035
-9.881 9.852 0.880
-2.596 2.566 -2.975
-5.450 5.439 1.182
-11.254 7.463 -3.621
-3.621 6.488 -2.338
-7.529 11.202 -3.647
-4.425 1.516 0.545
-8.563 4.808 0.061
-6.211 6.157 -4.467
-1.528 4.423 0.525
-4.023 4.002 -0.897
0.000 0.000 0.000
```

Output
The size of the total moment comes out at 11.70 μB/cell. The value obtained for the total energy is -6.705 eV/atom.

The following calculated density values (in g/cm3) correspond, in order, to the records above: 2.74 2.75.